5
Lattice="-3.8775 3.9516 -1.5420 -2.3202 -3.7248 -3.7109 -3.5510 -1.8812 4.1085" Properties=species:S:1:pos:R:3 comment="Np4Sn PBE-GGA optimized geometry" e_form_kj_per_mol_atoms=155.9 dos_ef_per_ev_fu=21.764 magnetic_moment_mub_per_atom=4.166 mass_density_g_cm3=9.3 pbc="T T T"
Np 0.0000 0.0000 0.0000
Np -3.7142 1.0352 1.2832
Np -2.9356 -2.8030 0.1988
Np -3.0989 0.1134 -2.6264
Sn -4.8743 -0.8272 -0.5722